# 1
NbB2Mo | PBE-GGA | optimized geometry

Cell and atoms, written as POSCAR:
```
NbB2Mo
1.0
-1.4431 2.4102 -1.5474
-2.8141 1.1236 1.0509
1.1010 4.6417 2.8794
Mo B Nb
1 2 1
Direct
0.0000 0.0000 0.0000 Mo
0.7468 0.7468 0.7597 B
0.2532 0.2532 0.2403 B
0.5000 0.5000 0.5000 Nb
```

Properties
For the formation energy, the calculation gives -0.45 eV/atom. The space group is R-3m. The distance to the lowest polymorph of the same formula comes out at 0.195 eV per atom.

# 2
GaFe3As | PBE-GGA | optimized geometry

Cell and atoms, written as POSCAR:
```
GaFe3As
1.0
-3.1680 -3.1633 0.2662
2.6398 -2.4162 2.7030
-1.7631 2.0661 3.5688
Ga As Fe
1 1 3
Direct
0.5000 0.5000 0.5000 Ga
0.0000 0.0000 0.0000 As
0.0000 0.0000 0.5000 Fe
0.5000 0.0000 0.0000 Fe
0.0000 0.5000 0.0000 Fe
```

Properties
For the formation energy, the calculation gives 0.66 eV/atom. The space group is Pm-3m. The distance to the lowest polymorph of the same formula comes out at 0.764 eV per atom.

# 3
Mg2AgSn2 | PBE-GGA | optimized geometry

Cell and atoms, written as POSCAR:
```
Mg2AgSn2
1.0
3.2214 0.0000 0.0000
0.0000 3.3326 0.6314
0.0000 -0.2873 10.6262
Mg Sn Ag
2 2 1
Direct
0.5000 0.4198 0.1604 Mg
0.5000 0.5802 0.8396 Mg
0.0000 0.8165 0.3670 Sn
0.0000 0.1835 0.6330 Sn
0.0000 0.0000 0.0000 Ag
```

Properties
For the formation energy, the calculation gives -0.12 eV/atom. The space group is Cmmm. The distance to the lowest polymorph of the same formula comes out at 0.000 eV per atom.

# 4
Ac2H2IrO6 | PBE-GGA | optimized geometry

Cell and atoms, written as POSCAR:
```
Ac2H2IrO6
1.0
5.2947 0.0000 0.0000
2.6473 4.5853 0.0000
2.6473 1.5284 5.1253
O Ac H Ir
6 2 2 1
Direct
0.2560 0.2560 0.7484 O
0.7396 0.2560 0.7484 O
0.2604 0.7440 0.2516 O
0.2560 0.7396 0.7484 O
0.7440 0.2604 0.2516 O
0.7440 0.7440 0.2516 O
0.7648 0.7648 0.7057 Ac
0.2352 0.2352 0.2943 Ac
0.4148 0.4148 0.7556 H
0.5852 0.5852 0.2444 H
0.0000 0.0000 0.0000 Ir
```

Properties
The space group is R-3m. The value obtained for the electronic total energy is -0.48750 Ry per atom.

Number 1: magnetic moment 0.00 μB/atom, calculated volume 11.7 A^3/atom. Number 2: magnetic moment 1.56 μB/atom, calculated volume 18.0 A^3/atom. Number 3: magnetic moment 0.00 μB/atom, calculated volume 22.9 A^3/atom. Number 4: magnetic moment 0.09 μB/atom, calculated volume 11.3 A^3/atom.